1.
Ba2LaIr | Alexandria | GGA-PBE | optimized geometry; ΔE_f = 0.237 eV per atom; excess energy over the best structure of this formula in the dataset = 2.07 eV/f.u.; calculated volume = 42.49 Å³ per atom
1.0
4.233 0.000 0.000
-2.117 3.666 0.000
0.000 0.000 32.849
Ba La Ir
6 3 3
direct
0.000 0.000 0.221
0.000 0.000 0.779
0.333 0.667 0.445
0.333 0.667 0.888
0.667 0.333 0.112
0.667 0.333 0.555
0.000 0.000 0.000
0.333 0.667 0.667
0.667 0.333 0.333
0.000 0.000 0.500
0.333 0.667 0.167
0.667 0.333 0.833

2.
Ba2La2Ir | Alexandria | GGA-PBE | optimized geometry; ΔE_f = -0.110 eV per atom; calculated volume = 38.62 Å³ per atom
1.0
7.596 0.000 0.000
0.000 7.596 0.000
0.000 0.000 6.693
Ba La Ir
4 4 2
direct
0.183 0.317 0.000
0.317 0.817 0.000
0.683 0.183 0.000
0.817 0.683 0.000
0.172 0.672 0.500
0.328 0.172 0.500
0.672 0.828 0.500
0.828 0.328 0.500
0.000 0.000 0.500
0.500 0.500 0.500

3.
BaLa2Ir2 | Alexandria | GGA-PBE | optimized geometry; ΔE_f = -0.290 eV per atom; excess energy over the best structure of this formula in the dataset = 0.63 eV/f.u.; calculated volume = 32.37 Å³ per atom
1.0
5.316 0.000 0.000
0.000 5.316 0.000
0.000 0.000 11.453
Ba La Ir
2 4 4
direct
0.000 0.000 0.000
0.500 0.500 0.500
0.000 0.000 0.328
0.000 0.000 0.672
0.500 0.500 0.172
0.500 0.500 0.828
0.000 0.500 0.250
0.000 0.500 0.750
0.500 0.000 0.250
0.500 0.000 0.750

4.
BaLaIr2 | Alexandria | GGA-PBE | optimized geometry; ΔE_f = 0.244 eV per atom; excess energy over the best structure of this formula in the dataset = 1.79 eV/f.u.; calculated volume = 22.94 Å³ per atom
1.0
7.160 0.000 0.000
0.000 7.160 0.000
0.000 0.000 7.160
Ba La Ir
4 4 8
direct
0.000 0.000 0.000
0.000 0.500 0.500
0.500 0.000 0.500
0.500 0.500 0.000
0.250 0.250 0.250
0.250 0.750 0.750
0.750 0.250 0.750
0.750 0.750 0.250
0.000 0.000 0.500
0.000 0.500 0.000
0.250 0.250 0.750
0.250 0.750 0.250
0.500 0.000 0.000
0.500 0.500 0.500
0.750 0.250 0.250
0.750 0.750 0.750

5.
Ba2LaIr | Alexandria | GGA-PBE | optimized geometry; ΔE_f = -0.177 eV per atom; excess energy over the best structure of this formula in the dataset = 0.42 eV/f.u.; calculated volume = 40.31 Å³ per atom
1.0
4.030 0.000 0.000
0.000 6.415 0.000
0.000 0.000 12.473
Ba La Ir
4 2 2
direct
0.000 0.000 0.000
0.000 0.500 0.173
0.500 0.000 0.673
0.500 0.500 0.500
0.000 0.000 0.342
0.500 0.500 0.842
0.000 0.500 0.701
0.500 0.000 0.201

6.
Ba2LaIr | Alexandria | GGA-PBE | optimized geometry; ΔE_f = 0.193 eV per atom; excess energy over the best structure of this formula in the dataset = 1.90 eV/f.u.; calculated volume = 38.50 Å³ per atom
1.0
3.776 0.000 0.000
0.000 3.776 0.000
0.000 0.000 10.801
Ba La Ir
2 1 1
direct
0.000 0.000 0.168
0.000 0.000 0.832
0.500 0.500 0.500
0.500 0.500 0.000

7.
BaLaIr2 | Alexandria | GGA-PBE | optimized geometry; ΔE_f = -0.203 eV per atom; excess energy over the best structure of this formula in the dataset = 0.00 eV/f.u.; calculated volume = 36.03 Å³ per atom
1.0
4.338 0.000 0.000
0.000 4.578 0.000
0.000 0.000 14.514
Ba La Ir
2 2 4
direct
0.000 0.000 0.000
0.500 0.500 0.500
0.000 0.500 0.768
0.500 0.000 0.268
0.000 0.000 0.391
0.000 0.500 0.333
0.500 0.000 0.833
0.500 0.500 0.891

8.
Ba2LaIr | Alexandria | GGA-PBE | optimized geometry; ΔE_f = -0.180 eV per atom; excess energy over the best structure of this formula in the dataset = 0.41 eV/f.u.; calculated volume = 39.28 Å³ per atom
1.0
5.393 0.000 0.000
0.000 5.405 0.000
0.000 0.000 10.782
Ba La Ir
4 2 2
direct
0.000 0.000 0.000
0.000 0.500 0.360
0.500 0.000 0.360
0.500 0.500 0.000
0.000 0.000 0.680
0.500 0.500 0.680
0.000 0.500 0.798
0.500 0.000 0.798

9.
Ba2LaIr | Alexandria | GGA-PBE | optimized geometry; ΔE_f = -0.202 eV per atom; excess energy over the best structure of this formula in the dataset = 0.32 eV/f.u.; calculated volume = 47.55 Å³ per atom
1.0
5.543 0.000 0.000
0.000 15.111 0.000
0.000 0.000 4.541
Ba La Ir
4 2 2
direct
0.000 0.143 0.000
0.000 0.857 0.000
0.500 0.357 0.000
0.500 0.643 0.000
0.000 0.500 0.500
0.500 0.000 0.500
0.000 0.000 0.500
0.500 0.500 0.500

10.
Ba2LaIr | Alexandria | GGA-PBE | optimized geometry; ΔE_f = -0.180 eV per atom; excess energy over the best structure of this formula in the dataset = 0.41 eV/f.u.; calculated volume = 40.60 Å³ per atom
1.0
3.787 0.000 0.000
0.000 4.541 0.000
0.000 0.000 18.887
Ba La Ir
4 2 2
direct
0.000 0.000 0.154
0.000 0.000 0.846
0.500 0.500 0.346
0.500 0.500 0.654
0.000 0.500 0.000
0.500 0.000 0.500
0.000 0.500 0.500
0.500 0.000 0.000

11.
BaLaIr2 | Alexandria | GGA-PBE | optimized geometry; ΔE_f = 0.040 eV per atom; excess energy over the best structure of this formula in the dataset = 0.97 eV/f.u.; calculated volume = 29.21 Å³ per atom
1.0
3.637 0.000 0.000
0.000 3.637 0.000
0.000 0.000 8.833
Ba La Ir
1 1 2
direct
0.000 0.000 0.000
0.500 0.500 0.569
0.000 0.000 0.351
0.500 0.500 0.274

12.
Ba3LaIr | Alexandria | GGA-PBE | optimized geometry; ΔE_f = 0.180 eV per atom; calculated volume = 45.49 Å³ per atom
1.0
6.104 0.000 0.000
0.000 6.104 0.000
0.000 0.000 6.104
Ba La Ir
3 1 1
direct
0.000 0.000 0.500
0.000 0.500 0.000
0.500 0.000 0.000
0.500 0.500 0.500
0.000 0.000 0.000